Run 1
This record from Alexandria describes BaNbSb2I after structural relaxation. The functional is PBE.

Crystal system: tetragonal
Symmetry: No. 123
Calculated density, Mg/m³: 5.75
D(E_F), states/eV per atom: 0.961

Lattice parameters (Å, degrees): 5.3991 5.3991 5.9543 90.00 90.00 90.00
Site moments in Bohr magnetons follow the coordinates.
Element x y z (fractional)
I 0.0000 0.0000 0.5000  0.01
Sb 0.0000 0.5000 0.0000  -0.02
Sb 0.5000 0.0000 0.0000  -0.02
Nb 0.0000 0.0000 0.0000  0.43
Ba 0.5000 0.5000 0.5000  0.00

=====

Run 2
This record from Alexandria describes BaNbSb2I after structural relaxation. The functional is PBE.

Crystal system: tetragonal
Symmetry: No. 123
Calculated density, Mg/m³: 4.01
D(E_F), states/eV per atom: 1.904

Lattice parameters (Å, degrees): 6.2655 6.2655 6.3369 90.00 90.00 90.00
Site moments in Bohr magnetons follow the coordinates.
Element x y z (fractional)
I 0.0000 0.0000 0.5000  -0.09
Sb 0.0000 0.5000 0.0000  -0.29
Sb 0.5000 0.0000 0.0000  -0.29
Nb 0.5000 0.5000 0.5000  2.96
Ba 0.0000 0.0000 0.0000  -0.06

=====

Looking at the structures above, run 1 is most stable, and the difference to the next one is 1.652 eV/atom.